(1)
First-principles (PBE) data for a relaxed KPrGd crystal, as listed in the Open Quantum Materials Database.

Computed properties:
Its calculated volume is 121 Å³ per cell. As for the space-group type: P-6m2, No. 187. The calculation puts the total energy at -2.860 eV per atom.

a = 6.547 Å, b = 6.547 Å, c = 3.258 Å
α = 90.00°, β = 90.00°, γ = 120.00°
Site moments in Bohr magnetons follow the coordinates.
Fractional positions:
Gd: 0.000 0.000 0.000  0.24
K: 0.667 0.333 0.000  0.01
Pr: 0.333 0.667 0.000  0.17

***

(2)
First-principles (PBE) data for a relaxed KPrGd crystal, as listed in the Open Quantum Materials Database.

Computed properties:
Its calculated volume is 148 Å³ per cell. As for the space-group type: F-43m, No. 216. The calculation puts the total energy at -2.367 eV per atom.

a = 5.937 Å, b = 5.937 Å, c = 5.937 Å
α = 60.00°, β = 60.00°, γ = 60.00°
Fractional positions:
Gd: 0.250 0.250 0.250
K: 0.750 0.750 0.750
Pr: 0.000 0.000 0.000

***

(3)
First-principles (PBE) data for a relaxed KGdPu crystal, as listed in the Open Quantum Materials Database.

Computed properties:
Its calculated volume is 139 Å³ per cell. As for the space-group type: F-43m, No. 216. The calculation puts the total energy at -5.395 eV per atom.

a = 5.815 Å, b = 5.815 Å, c = 5.815 Å
α = 60.00°, β = 60.00°, γ = 60.00°
Site moments in Bohr magnetons follow the coordinates.
Fractional positions:
Gd: 0.500 0.500 0.500  0.91
K: 0.000 0.000 0.000  0.06
Pu: 0.250 0.250 0.250  6.11

***

(4)
First-principles (PBE) data for a relaxed KRbGd crystal, as listed in the Open Quantum Materials Database.

Computed properties:
Its calculated volume is 205 Å³ per cell. As for the space-group type: F-43m, No. 216. The calculation puts the total energy at -1.216 eV per atom.

a = 6.618 Å, b = 6.618 Å, c = 6.618 Å
α = 60.00°, β = 60.00°, γ = 60.00°
Site moments in Bohr magnetons follow the coordinates.
Fractional positions:
Gd: 0.250 0.250 0.250  0.61
K: 0.000 0.000 0.000  0.02
Rb: 0.750 0.750 0.750  0.02

***

(5)
First-principles (PBE) data for a relaxed KRbGd3 crystal, as listed in the Open Quantum Materials Database.

Computed properties:
Its calculated volume is 496 Å³ per cell. As for the space-group type: P-31m, No. 162. The calculation puts the total energy at -2.875 eV per atom.

a = 6.302 Å, b = 6.302 Å, c = 14.416 Å
α = 90.00°, β = 90.00°, γ = 120.00°
Fractional positions:
Gd: 0.664 0.000 0.094
Gd: 0.336 0.336 0.094
Gd: 0.000 0.664 0.094
Gd: 0.336 0.000 0.906
Gd: 0.000 0.336 0.906
Gd: 0.664 0.664 0.906
K: 0.000 0.000 0.324
K: 0.000 0.000 0.676
Rb: 0.667 0.333 0.500
Rb: 0.333 0.667 0.500

***

(6)
First-principles (PBE) data for a relaxed KGdSeS crystal, as listed in the Open Quantum Materials Database.

Computed properties:
Its calculated volume is 113 Å³ per cell. As for the space-group type: R3m, No. 160. The calculation puts the total energy at -5.162 eV per atom.

a = 7.901 Å, b = 7.901 Å, c = 7.901 Å
α = 30.55°, β = 30.55°, γ = 30.55°
Fractional positions:
Gd: 0.003 0.003 0.003
K: 0.499 0.499 0.499
S: 0.734 0.734 0.734
Se: 0.264 0.264 0.264

***

(7)
First-principles (PBE) data for a relaxed K2Gd2SnS6 crystal, as listed in the Open Quantum Materials Database.

Computed properties:
Its calculated volume is 309 Å³ per cell. As for the space-group type: P-3, No. 147. The calculation puts the total energy at -5.072 eV per atom.

a = 6.807 Å, b = 6.807 Å, c = 7.712 Å
α = 90.00°, β = 90.00°, γ = 120.00°
Fractional positions:
Gd: 0.333 0.667 0.001
Gd: 0.667 0.333 0.999
K: 0.667 0.333 0.499
K: 0.333 0.667 0.501
S: 0.684 0.001 0.196
S: 0.317 0.316 0.196
S: 0.999 0.683 0.196
S: 0.001 0.317 0.804
S: 0.683 0.684 0.804
S: 0.316 0.999 0.804
Sn: 0.000 0.000 0.000

***

(8)
First-principles (PBE) data for a relaxed KGdTeS crystal, as listed in the Open Quantum Materials Database.

Computed properties:
Its calculated volume is 125 Å³ per cell. As for the space-group type: R3m, No. 160. The calculation puts the total energy at -4.870 eV per atom.

a = 8.238 Å, b = 8.238 Å, c = 8.238 Å
α = 30.13°, β = 30.13°, γ = 30.13°
Fractional positions:
Gd: 0.009 0.009 0.009
K: 0.494 0.494 0.494
S: 0.734 0.734 0.734
Te: 0.263 0.263 0.263